# 1
First-principles (PBEsol) data for a geometry-optimized KZnPb3 structure, as listed in the Alexandria database.

**Energy of formation**: 140 meV per atom
**Volume**: 32.70 Å³ per atom
**Density of states at the Fermi level**: 2.238 states/eV per cell

abc: 5.468 5.468 5.468
angles: 90.00 90.00 90.00
Space group Pm-3m (No. 221)
Asymmetric unit:
K 0.000 0.000 0.000 [1 per cell]
Zn 0.500 0.500 0.500 [1 per cell]
Pb 0.000 0.500 0.500 [3 per cell]

***

# 2
First-principles (PBEsol) data for a geometry-optimized Pd3WCl structure, as listed in the Alexandria database.

**Volume**: 21.71 Å³ per atom
**Energy relative to the elements, uncorrected**: 1238 meV per atom
**Density of states at the Fermi level**: 3.402 states/eV per cell

abc: 4.770 4.770 4.770
angles: 90.00 90.00 90.00
Space group Pm-3m (No. 221)
Asymmetric unit:
Pd 0.000 0.000 0.500 [3 per cell]
W 0.000 0.000 0.000 [1 per cell]
Cl 0.500 0.500 0.500 [1 per cell]

***

# 3
First-principles (PBEsol) data for a geometry-optimized Li2VP2O7 structure, as listed in the Alexandria database.

**E above lowest polymorph**: 23 meV/atom
**Volume**: 12.01 Å³ per atom
**Energy relative to the elements, uncorrected**: -2190 meV per atom

abc: 5.0431 5.0431 39.2667
angles: 90.00 90.00 120.00
Space group R-3c (No. 167, hexagonal axes)
Asymmetric unit:
Li 0.0000 0.0000 0.1343 [12 per cell]
V 0.0000 0.0000 0.0000 [6 per cell]
P 0.0000 0.0000 0.2096 [12 per cell]
O 0.0000 0.0000 0.2500 [6 per cell]
O 0.0237 0.3015 0.1985 [36 per cell]

***

# 4
First-principles (PBEsol) data for a geometry-optimized BaWBr2 structure, as listed in the Alexandria database.

**E above lowest polymorph**: 462 meV/atom
**Volume**: 29.91 Å³ per atom
**Energy relative to the elements, uncorrected**: 552 meV per atom
**Density of states at the Fermi level**: 6.769 states/eV per cell

abc: 7.822 7.822 7.822
angles: 90.00 90.00 90.00
Space group F-43m (No. 216)
Asymmetric unit:
Ba 0.000 0.000 0.000 [4 per cell]
W 0.250 0.250 0.750 [4 per cell]
Br 0.000 0.000 0.500 [4 per cell]
Br 0.250 0.250 0.250 [4 per cell]

***

# 5
First-principles (PBEsol) data for a geometry-optimized La2Ir structure, as listed in the Alexandria database.

**Energy of formation**: -487 meV per atom
**Volume**: 26.09 Å³ per atom
**Density of states at the Fermi level**: 9.501 states/eV per cell

abc: 7.5998 7.5998 4.6944
angles: 90.00 90.00 120.00
Space group P-62m (No. 189)
Asymmetric unit:
La 0.0000 0.4094 0.0000 [3 per cell]
La 0.0000 0.7365 0.5000 [3 per cell]
Ir 0.0000 0.0000 0.0000 [1 per cell]
Ir 0.3333 0.6667 0.5000 [2 per cell]

***

# 6
First-principles (PBEsol) data for a geometry-optimized Mg5As structure, as listed in the Alexandria database.

**Energy of formation**: -72 meV per atom
**E above lowest polymorph**: 0 meV/atom
**Volume**: 21.36 Å³ per atom
**Density of states at the Fermi level**: 5.420 states/eV per cell

abc: 11.360 3.197 7.381
angles: 90.00 107.05 90.00
Space group Cm (No. 8)
Asymmetric unit:
Mg 0.000 0.000 0.000 [2 per cell]
Mg 0.013 0.000 0.599 [2 per cell]
Mg 0.159 0.500 0.360 [2 per cell]
Mg 0.212 0.500 0.901 [2 per cell]
Mg 0.370 0.000 0.250 [2 per cell]
As 0.313 0.000 0.651 [2 per cell]

***

# 7
First-principles (PBEsol) data for a geometry-optimized CuSbTe2Os structure, as listed in the Alexandria database.

**Volume**: 22.78 Å³ per atom
**Energy relative to the elements, uncorrected**: 1356 meV per atom
**Density of states at the Fermi level**: 4.421 states/eV per cell

abc: 4.889 4.889 4.766
angles: 90.00 90.00 90.00
Space group P4/mmm (No. 123)
Asymmetric unit:
Cu 0.000 0.000 0.000 [1 per cell]
Sb 0.000 0.000 0.500 [1 per cell]
Te 0.000 0.500 0.000 [2 per cell]
Os 0.500 0.500 0.500 [1 per cell]

***

# 8
First-principles (PBEsol) data for a geometry-optimized La2PtAu structure, as listed in the Alexandria database.

**Energy of formation**: -864 meV per atom
**Volume**: 24.40 Å³ per atom
**Density of states at the Fermi level**: 4.034 states/eV per cell

abc: 3.646 3.647 7.340
angles: 90.00 90.06 90.00
Space group P2/m (No. 10)
Asymmetric unit:
La 0.001 0.000 0.263 [2 per cell]
Pt 0.500 0.500 0.500 [1 per cell]
Au 0.500 0.500 0.000 [1 per cell]

***

Number 1: electronic total energy -14.0 eV/f.u.. Number 2: electronic total energy -27.5 eV/f.u.. Number 3: electronic total energy -88.2 eV/f.u.. Number 4: electronic total energy -17.5 eV/f.u.. Number 5: electronic total energy -22.0 eV/f.u.. Number 6: electronic total energy -14.1 eV/f.u.. Number 7: electronic total energy -21.4 eV/f.u.. Number 8: electronic total energy -25.0 eV/f.u..